Record 1
An optimized crystal structure of TlRhW2. Source: Alexandria, functional GGA-PBE.

```
4
Lattice="0.0000 3.2455 3.2455 3.2455 0.0000 3.2455 3.2455 3.2455 0.0000" Properties=species:S:1:pos:R:3 pbc="T T T"
Tl 4.8682 4.8682 4.8682
Rh 3.2455 3.2455 3.2455
W 0.0000 0.0000 0.0000
W 1.6227 1.6227 1.6227
```

Calculated values
- ΔE_f (eV/f.u.) = 2.5
- symmetry = F-43m (216)
- ΔE to the lowest computed polymorph (meV/atom) = 266.1
- DOS(E_F) (states/eV/f.u.) = 2.46

Record 2
An optimized crystal structure of K2BeSi. Source: Alexandria, functional GGA-PBE.

```
4
Lattice="3.7992 0.0152 0.0000 1.4341 3.5182 0.0000 0.0000 0.0000 10.1111" Properties=species:S:1:pos:R:3 pbc="T T T"
Be 2.6167 1.7667 6.5015
K 0.0000 0.0000 9.3424
K 2.6167 1.7667 3.3656
Si 0.0000 0.0000 6.0693
```

Calculated values
- raw formation energy (meV/atom) = 438.8
- symmetry = Cmm2 (35)
- ΔE to the lowest computed polymorph (meV/atom) = 273.5
- DOS(E_F) (states/eV/f.u.) = 1.56

Record 3
An optimized crystal structure of YAlGaPd. Source: Alexandria, functional GGA-PBE.

```
4
Lattice="-1.8494 3.4363 2.6615 -4.6168 -0.0116 0.9985 -1.4644 -0.9424 4.3909" Properties=species:S:1:pos:R:3 pbc="T T T"
Y -5.9480 1.8617 6.0382
Ga 0.0000 0.0000 0.0000
Pd -3.9653 1.2412 4.0255
Al -1.9827 0.6206 2.0127
```

Calculated values
- ΔE_f (eV/f.u.) = -2.5
- symmetry = F-43m (216)
- DOS(E_F) (states/eV/f.u.) = 2.11

Record 4
An optimized crystal structure of BaAlIr. Source: Alexandria, functional GGA-PBE.

```
12
Lattice="4.2070 0.0000 0.0000 0.0000 7.7447 0.0413 0.0000 -0.6347 9.5455" Properties=species:S:1:pos:R:3 pbc="T T T"
Ba 2.1014 5.3711 8.8910
Ba 0.0021 1.8161 4.0976
Ba 4.2049 5.2940 5.4892
Ba 2.1056 1.7390 0.6958
Ir 0.0009 2.8994 8.2849
Ir 4.2061 4.2107 1.3019
Ir 2.1026 7.0890 3.5328
Ir 2.1044 0.0210 6.0540
Al 0.0010 0.5582 7.3320
Al 2.1025 4.7479 2.5799
Al 2.1045 2.3621 7.0068
Al 4.2060 6.5518 2.2547
```

Calculated values
- ΔE_f (eV/f.u.) = -1.4
- symmetry = C2/m (12)
- DOS(E_F) (states/eV/f.u.) = 2.43

Record 5
An optimized crystal structure of LiZrTc3. Source: Alexandria, functional GGA-PBE.

```
5
Lattice="-3.5010 -2.6514 2.0050 2.3658 -4.0330 -1.2023 2.3352 0.1106 4.2240" Properties=species:S:1:pos:R:3 pbc="T T T"
Tc 1.1829 -2.0165 -0.6011
Tc 1.1676 0.0553 2.1120
Tc -1.7505 -1.3257 1.0025
Zr 0.0000 0.0000 0.0000
Li 0.6000 -3.2869 2.5134
```

Calculated values
- ΔE_f (eV/f.u.) = 9.1
- symmetry = Pm-3m (221)
- ΔE to the lowest computed polymorph (meV/atom) = 994.6
- DOS(E_F) (states/eV/f.u.) = 4.23

Record 6
An optimized crystal structure of CsNdBe2F8. Source: Alexandria, functional GGA-PBE.

```
12
Lattice="-3.8807 -3.3375 -1.3252 -1.6889 -3.6056 3.4789 -7.6519 3.2509 3.6725" Properties=species:S:1:pos:R:3 pbc="T T T"
Cs -6.6107 -1.8461 2.9131
Nd 0.0000 0.0000 0.0000
Be -3.1968 -1.0273 1.4012
Be -10.0247 -2.6649 4.4250
F -4.2063 -0.0579 1.9158
F -3.8608 -2.3156 0.7363
F -9.0152 -3.6343 3.9103
F -2.2270 -1.5736 2.5430
F -10.9944 -2.1186 3.2831
F -2.2485 -0.3971 0.2849
F -10.9730 -3.2952 5.5413
F -9.3607 -1.3766 5.0899
```

Calculated values
- raw formation energy (meV/atom) = -3478.5
- symmetry = R-3 (148)
- DOS(E_F) (states/eV/f.u.) = 0.00

For reference, magnetic moment by record: 0.0000 0.0000 0.0000 0.0000 0.6056 0.0110 μB/atom.